1.
DFT (PBE) results for a relaxed Tl5InS4 crystal.

Cell lengths 7.5254, 10.4764, 8.3587 Å; angles 90.00, 90.00, 90.00 degrees
Last column: nearest neighbours and their distance in Å.
Fractional coordinates of all 20 atoms:
Tl 0.7279 0.2048 0.2788  3 S 2.91-3.16
Tl 0.7279 0.2048 0.7212  3 S 2.91-3.16
Tl 0.0548 0.0000 0.5000  4 S 2.90-3.15
Tl 0.7279 0.7952 0.2788  3 S 2.91-3.16
Tl 0.7279 0.7952 0.7212  3 S 2.91-3.16
Tl 0.2721 0.7048 0.2212  3 S 2.91-3.16
Tl 0.2721 0.7048 0.7788  3 S 2.91-3.16
Tl 0.9452 0.5000 0.0000  4 S 2.90-3.15
Tl 0.2721 0.2952 0.7788  3 S 2.91-3.16
Tl 0.2721 0.2952 0.2212  3 S 2.91-3.16
In 0.1435 0.0000 0.0000  4 S 2.48-2.51
In 0.8565 0.5000 0.5000  4 S 2.48-2.51
S 0.9590 0.1993 0.0000  1 In 2.51
S 0.3220 0.0000 0.2494  1 In 2.48
S 0.3220 0.0000 0.7506  1 In 2.48
S 0.9590 0.8007 0.0000  1 In 2.51
S 0.0410 0.6993 0.5000  1 In 2.51
S 0.6780 0.5000 0.2506  1 In 2.48
S 0.6780 0.5000 0.7494  1 In 2.48
S 0.0410 0.3007 0.5000  1 In 2.51

Space-group type = Pmmn, No. 59
Crystal system = orthorhombic
E_tot = -3.50 eV per atom

2.
DFT (PBE) results for a relaxed ThZnSi2Pt2 crystal.

Cell lengths 4.2294, 4.2294, 6.9146 Å; angles 90.00, 90.00, 120.00 degrees
Last column: nearest neighbours and their distance in Å.
Fractional coordinates of all 6 atoms:
Th 0.0000 0.0000 0.0000  6 Si 3.12, 6 Pt 3.30, 2 Zn 3.46
Zn 0.0000 0.0000 0.5000  6 Pt 2.74, 6 Si 2.87
Si 0.6667 0.3333 0.2820  3 Pt 2.46
Si 0.3333 0.6667 0.7180  3 Pt 2.46
Pt 0.6667 0.3333 0.6798  3 Si 2.46, 3 Zn 2.74
Pt 0.3333 0.6667 0.3202  3 Si 2.46, 3 Zn 2.74

Space-group type = P-3m1, No. 164
D(E_F) = 2.44 states/eV per cell
Crystal system = trigonal
E_tot = -6.09 eV per atom

3.
DFT (PBE) results for a relaxed Ti6In2N crystal.

Cell lengths 5.9215, 5.9215, 5.9226 Å; angles 59.99, 59.99, 60.01 degrees
Last column: nearest neighbours and their distance in Å.
Fractional coordinates of all 9 atoms:
Ti 0.2453 0.2453 0.7544  1 N 2.13
Ti 0.2455 0.7544 0.2455  1 N 2.13
Ti 0.7545 0.2456 0.7545  1 N 2.13
Ti 0.7544 0.2455 0.2455  1 N 2.13
Ti 0.2456 0.7545 0.7545  1 N 2.13
Ti 0.7547 0.7547 0.2456  1 N 2.13
In 0.2500 0.2500 0.2499  12 Ti 2.96
In 0.7500 0.7500 0.7501  12 Ti 2.96
N 0.5000 0.5000 0.5000  6 Ti 2.13

Space-group type = Fm-3m, No. 225
D(E_F) = 16.87 states/eV per cell
Offset from the most stable computed form = 0 meV per atom
Crystal system = cubic
E_tot = -7.32 eV per atom

4.
DFT (PBE) results for a relaxed MnMo2Os crystal.

Cell lengths 2.7658, 3.7595, 5.6085 Å; angles 90.00, 90.00, 90.00 degrees
Last column: nearest neighbours and their distance in Å.
Fractional coordinates of all 4 atoms:
Mn 0.5000 0.5000 0.7470  6 Mo 2.68-2.89, 4 Os 2.69, 2 Mn 2.77
Mo 0.0000 0.0000 0.9812  1 Os 2.64, 4 Mn 2.68, 6 Mo 2.77-2.81
Mo 0.5000 0.5000 0.2619  4 Os 2.72, 2 Mn 2.72-2.89, 6 Mo 2.77-2.81
Os 0.0000 0.0000 0.5099  5 Mo 2.64-2.72, 4 Mn 2.69, 2 Os 2.77

Calculated formation energy = 0.21 eV per atom
Space-group type = Pmm2, No. 25
D(E_F) = 4.98 states/eV per cell
Offset from the most stable computed form = 115 meV per atom
Crystal system = orthorhombic
E_tot = -10.31 eV per atom

5.
DFT (PBE) results for a relaxed ZnNiC2 crystal.

Cell lengths 4.5581, 4.5581, 5.4834 Å; angles 65.44, 65.44, 90.00 degrees
Last column: nearest neighbours and their distance in Å.
Fractional coordinates of all 8 atoms:
Ni 0.5000 0.5000 0.0000  4 C 1.84
Ni 0.2500 0.7500 0.5000  4 C 1.84
Zn 0.0000 0.0000 0.0000  4 C 2.09
Zn 0.7500 0.2500 0.5000  4 C 2.09
C 0.5789 0.1250 0.2500  2 Ni 1.84
C 0.1711 0.6250 0.2500  2 Ni 1.84
C 0.3750 0.4211 0.7500  2 Ni 1.84
C 0.8750 0.8289 0.7500  2 Ni 1.84

Calculated formation energy = 1.25 eV per atom
Space-group type = I-42d, No. 122
D(E_F) = 4.23 states/eV per cell
Crystal system = tetragonal
E_tot = -5.13 eV per atom

6.
DFT (PBE) results for a relaxed CdMoSe2 crystal.

Cell lengths 7.5887, 4.8023, 3.3745 Å; angles 90.03, 63.52, 129.34 degrees
Last column: nearest neighbours and their distance in Å.
Fractional coordinates of all 4 atoms:
Cd 0.0000 0.5000 0.5000  8 Se 2.93-2.94
Mo 0.5000 0.5000 0.0000  8 Se 2.93-2.94
Se 0.0000 0.0000 0.0000  4 Mo 2.93, 4 Cd 2.93-2.94
Se 0.5000 0.0000 0.5000  4 Cd 2.93, 4 Mo 2.93-2.94

Space-group type = C2/m, No. 12
D(E_F) = 2.14 states/eV per cell
Offset from the most stable computed form = 594 meV per atom
Crystal system = monoclinic
E_tot = -4.38 eV per atom

7.
DFT (PBE) results for a relaxed ZrMnFe2 crystal.

Cell lengths 4.9673, 4.9673, 4.9673 Å; angles 135.94, 135.94, 64.07 degrees
Last column: nearest neighbours and their distance in Å.
Fractional coordinates of all 4 atoms:
Fe 0.0000 0.0000 0.0000  4 Mn 2.63, 4 Zr 2.81, 4 Fe 2.81
Fe 0.2500 0.7500 0.5000  4 Zr 2.63, 4 Fe 2.81, 4 Mn 2.81
Mn 0.5000 0.5000 0.0000  8 Fe 2.63-2.81, 4 Zr 2.81
Zr 0.7500 0.2500 0.5000  8 Fe 2.63-2.81, 4 Mn 2.81

Calculated formation energy = 0.11 eV per atom
Space-group type = I-4m2, No. 119
D(E_F) = 5.49 states/eV per cell
Crystal system = tetragonal
E_tot = -8.55 eV per atom

8.
DFT (PBE) results for a relaxed CdRePd2 crystal.

Cell lengths 3.9745, 3.9745, 9.4640 Å; angles 77.88, 77.88, 90.00 degrees
Last column: nearest neighbours and their distance in Å.
Fractional coordinates of all 8 atoms:
Re 0.0000 0.0000 0.0000  4 Pd 2.64, 4 Cd 2.81
Re 0.7500 0.2500 0.5000  4 Pd 2.64, 4 Cd 2.81
Pd 0.6407 0.1250 0.2500  2 Re 2.64, 2 Cd 2.68, 4 Pd 2.72-2.90
Pd 0.1093 0.6250 0.2500  2 Re 2.64, 2 Cd 2.68, 4 Pd 2.72-2.90
Pd 0.3750 0.3593 0.7500  2 Re 2.64, 2 Cd 2.68, 4 Pd 2.72-2.90
Pd 0.8750 0.8907 0.7500  2 Re 2.64, 2 Cd 2.68, 4 Pd 2.72-2.90
Cd 0.5000 0.5000 0.0000  4 Pd 2.68, 4 Re 2.81
Cd 0.2500 0.7500 0.5000  4 Pd 2.68, 4 Re 2.81

Calculated formation energy = 0.73 eV per atom
Space-group type = I-42d, No. 122
D(E_F) = 9.77 states/eV per cell
Crystal system = tetragonal
E_tot = -5.21 eV per atom

Q: Which formula does entry 6 have?
A: CdMoSe2